# 1
Compound: Pu2AgSn
Source: the Alexandria database
Functional: PBE
Structure: optimized geometry

```
8
Lattice="3.547 0.000 0.000 0.000 7.637 1.146 0.000 -0.374 6.020" Properties=species:S:1:pos:R:3 pbc="T T T"
Pu 2.660 0.561 3.086
Pu 0.887 6.703 4.079
Pu 0.887 7.056 1.694
Pu 2.660 0.207 5.471
Ag 2.660 4.424 2.694
Ag 0.887 2.839 4.471
Sn 2.660 4.738 5.858
Sn 0.887 2.525 1.308
```

Output
Density: 14.4 Mg/m³
Fermi-level density of states: 6.78 states/eV/f.u.
Formation energy from the elements: 21.6 meV per atom
E: -70.863 eV/cell
Symmetry: P2_1/m


# 2
Compound: TbPuAgSn
Source: the Alexandria database
Functional: PBE
Structure: optimized geometry

```
4
Lattice="-1.170 2.438 4.533 -0.190 -2.748 4.502 3.733 0.684 3.669" Properties=species:S:1:pos:R:3 pbc="T T T"
Sn 0.593 0.094 3.176
Ag 1.780 0.281 9.528
Tb 0.000 0.000 0.000
Pu 1.187 0.187 6.352
```

Output
Density: 10.1 Mg/m³
Fermi-level density of states: 9.09 states/eV/f.u.
Formation energy from the elements: -321.0 meV per atom
E: -27.100 eV/cell
Symmetry: F-43m


# 3
Compound: PuAgSnTe3
Source: the Alexandria database
Functional: PBE
Structure: optimized geometry

```
12
Lattice="4.282 0.000 0.000 0.000 9.012 1.335 0.000 -3.109 9.180" Properties=species:S:1:pos:R:3 pbc="T T T"
Te 1.070 5.163 5.733
Te 1.070 -1.874 8.176
Te 3.211 3.094 1.936
Te 3.211 0.740 4.782
Te 3.211 7.777 2.340
Te 1.070 2.809 8.580
Ag 1.070 -1.077 5.423
Ag 3.211 6.980 5.092
Sn 1.070 5.382 2.419
Sn 3.211 0.521 8.096
Pu 3.211 5.164 8.177
Pu 1.070 0.739 2.338
```

Output
Uncorrected formation energy: -0.492 eV/atom
Density: 7.6 Mg/m³
Fermi-level density of states: 14.41 states/eV/f.u.
E: -67.125 eV/cell
Symmetry: P2_1/m


# 4
Compound: YPuAgSn
Source: the Alexandria database
Functional: PBE
Structure: optimized geometry

```
4
Lattice="-3.001 0.588 -4.296 -4.227 -3.073 -0.704 -4.844 2.041 0.427" Properties=species:S:1:pos:R:3 pbc="T T T"
Pu -3.018 -0.111 -1.143
Ag -6.036 -0.222 -2.286
Sn 0.000 0.000 0.000
Y -9.054 -0.333 -3.429
```

Output
Density: 9.0 Mg/m³
Fermi-level density of states: 9.14 states/eV/f.u.
Formation energy from the elements: -331.2 meV per atom
E: -28.975 eV/cell
Symmetry: F-43m


# 5
Compound: PuZrAgSn
Source: the Alexandria database
Functional: PBE
Structure: optimized geometry

```
4
Lattice="5.128 0.000 0.000 2.564 4.441 0.000 2.564 1.480 4.187" Properties=species:S:1:pos:R:3 pbc="T T T"
Sn 2.564 1.480 1.047
Zr 5.128 2.961 2.093
Pu 0.000 0.000 0.000
Ag 7.692 4.441 3.140
```

Output
Density: 9.8 Mg/m³
Fermi-level density of states: 9.85 states/eV/f.u.
Formation energy from the elements: -128.9 meV per atom
E: -30.250 eV/cell
Symmetry: F-43m


# 6
Compound: SrPuAg4
Source: the Alexandria database
Functional: PBE
Structure: optimized geometry

```
6
Lattice="-5.456 -0.436 2.026 -0.936 -1.509 5.559 -2.028 3.945 3.793" Properties=species:S:1:pos:R:3 pbc="T T T"
Ag -4.794 2.003 4.334
Ag -2.537 1.467 6.098
Ag -4.248 -0.720 5.216
Ag -5.261 1.250 7.109
Pu -2.105 0.500 2.845
Sr 0.000 0.000 0.000
```

Output
Density: 9.0 Mg/m³
Fermi-level density of states: 16.94 states/eV/f.u.
Formation energy from the elements: -11.4 meV per atom
E: -27.487 eV/cell
Symmetry: F-43m


# 7
Compound: SrPuAgTe3
Source: the Alexandria database
Functional: PBE
Structure: optimized geometry

```
12
Lattice="-0.389 4.453 -0.212 0.360 -0.398 -9.044 -9.704 -0.748 2.101" Properties=species:S:1:pos:R:3 pbc="T T T"
Ag -5.716 0.644 0.412
Ag -4.017 2.662 -7.567
Te -8.021 0.262 -3.402
Te -1.713 3.045 -3.753
Te -1.225 2.882 -8.077
Te -8.509 0.425 0.922
Te -4.530 0.454 -5.782
Te -5.203 2.853 -1.373
Sr -7.315 2.454 -5.886
Sr -2.418 0.853 -1.270
Pu -8.303 2.584 -1.338
Pu -1.431 0.723 -5.817
```

Output
Uncorrected formation energy: -1.029 eV/atom
Density: 7.0 Mg/m³
Fermi-level density of states: 14.21 states/eV/f.u.
E: -68.923 eV/cell
Symmetry: P2_1/m


# 8
Compound: Sr2PuAgTe4
Source: the Alexandria database
Functional: PBE
Structure: optimized geometry

```
8
Lattice="4.597 0.000 0.000 0.000 7.984 0.095 0.000 -2.833 7.364" Properties=species:S:1:pos:R:3 pbc="T T T"
Ag 0.000 0.000 0.000
Te 0.000 5.243 1.796
Te 0.000 -0.092 5.664
Te 2.298 1.275 1.660
Te 2.298 3.876 5.800
Pu 2.298 3.992 0.048
Sr 2.298 -1.417 3.682
Sr 0.000 2.576 3.730
```

Output
Uncorrected formation energy: -1.105 eV/atom
Density: 6.3 Mg/m³
Fermi-level density of states: 16.32 states/eV/f.u.
E: -41.955 eV/cell
Symmetry: P2/m


# 9
Compound: Tb2PuAg
Source: the Alexandria database
Functional: PBE
Structure: optimized geometry

```
4
Lattice="-1.753 3.048 -0.539 -2.681 -1.185 2.015 3.714 3.358 6.915" Properties=species:S:1:pos:R:3 pbc="T T T"
Tb 2.894 2.617 5.388
Tb 0.820 0.741 1.526
Ag -2.217 0.931 0.738
Pu -0.359 2.611 4.196
```

Output
Density: 10.3 Mg/m³
Fermi-level density of states: 8.88 states/eV/f.u.
Formation energy from the elements: -38.7 meV per atom
E above lowest polymorph: 0.0 meV per atom
E: -26.598 eV/cell
Symmetry: P4/mmm


# 10
Compound: Tb2PuAg
Source: the Alexandria database
Functional: PBE
Structure: optimized geometry

```
4
Lattice="-2.403 -1.688 -1.876 -2.107 -2.310 1.540 -8.410 6.292 1.873" Properties=species:S:1:pos:R:3 pbc="T T T"
Tb -9.824 1.868 1.190
Tb -3.096 0.426 0.346
Ag 0.000 0.000 0.000
Pu -6.460 1.147 0.768
```

Output
Density: 10.1 Mg/m³
Fermi-level density of states: 9.84 states/eV/f.u.
Formation energy from the elements: 72.7 meV per atom
E above lowest polymorph: 111.4 meV per atom
E: -26.153 eV/cell
Symmetry: R-3m


# 11
Compound: Tb5PuAg4
Source: the Alexandria database
Functional: PBE
Structure: optimized geometry

```
10
Lattice="3.594 0.000 0.000 0.000 3.594 0.000 0.000 0.000 19.671" Properties=species:S:1:pos:R:3 pbc="T T T"
Tb 1.797 1.797 9.835
Tb 1.797 1.797 6.096
Tb 1.797 1.797 13.574
Tb 1.797 1.797 17.292
Tb 1.797 1.797 2.379
Ag 0.000 0.000 15.447
Ag 0.000 0.000 11.702
Ag 0.000 0.000 4.224
Ag 0.000 0.000 7.969
Pu 0.000 0.000 0.000
```

Output
Density: 9.6 Mg/m³
Fermi-level density of states: 10.24 states/eV/f.u.
Formation energy from the elements: -211.2 meV per atom
E: -51.001 eV/cell
Symmetry: P4/mmm


# 12
Compound: Tb2PuAg3Te6
Source: the Alexandria database
Functional: PBE
Structure: optimized geometry

```
12
Lattice="-4.135 -1.659 0.525 0.303 -3.791 -9.598 5.240 -5.519 4.663" Properties=species:S:1:pos:R:3 pbc="T T T"
Tb 1.124 -3.327 -1.665
Tb 0.285 -7.642 -2.746
Te 1.060 -7.746 3.033
Te 2.229 -7.192 -5.176
Te 2.309 -6.078 -1.029
Te 0.349 -3.223 -7.444
Te -0.900 -4.891 -3.382
Te -0.821 -3.777 0.765
Ag -1.916 -2.725 -4.537
Ag 1.374 -5.820 -7.572
Ag 0.034 -5.150 3.161
Pu -2.067 -0.830 0.262
```

Output
Uncorrected formation energy: -0.776 eV/atom
Density: 7.1 Mg/m³
Fermi-level density of states: 13.72 states/eV/f.u.
E: -60.308 eV/cell
Symmetry: C2/m


# 13
Compound: TbPuTlAg
Source: the Alexandria database
Functional: PBE
Structure: optimized geometry

```
4
Lattice="5.312 0.000 0.000 2.656 4.600 0.000 2.656 1.533 4.337" Properties=species:S:1:pos:R:3 pbc="T T T"
Tl 0.000 0.000 0.000
Tb 2.656 1.533 1.084
Pu 7.968 4.600 3.253
Ag 5.312 3.067 2.169
```

Output
Density: 11.2 Mg/m³
Fermi-level density of states: 11.05 states/eV/f.u.
Formation energy from the elements: -94.9 meV per atom
E: -24.559 eV/cell
Symmetry: F-43m


# 14
Compound: TbPuZnAg
Source: the Alexandria database
Functional: PBE
Structure: optimized geometry

```
4
Lattice="-4.076 2.509 1.869 -4.734 -1.302 -1.513 -3.187 -2.353 3.272" Properties=species:S:1:pos:R:3 pbc="T T T"
Ag -2.999 -0.287 0.907
Zn -8.998 -0.860 2.721
Tb 0.000 0.000 0.000
Pu -5.998 -0.573 1.814
```

Output
Density: 10.0 Mg/m³
Fermi-level density of states: 10.47 states/eV/f.u.
Formation energy from the elements: -93.0 meV per atom
E: -23.459 eV/cell
Symmetry: F-43m


# 15
Compound: Pu6Tc2Ag
Source: the Alexandria database
Functional: PBE
Structure: optimized geometry

```
9
Lattice="-1.507 2.018 1.350 -5.943 -1.079 -5.019 0.344 -4.184 6.637" Properties=species:S:1:pos:R:3 pbc="T T T"
Tc -2.505 -2.140 3.427
Tc -4.601 -1.105 -0.459
Pu -5.965 -2.355 -2.567
Pu -3.780 -3.230 1.178
Pu -4.882 -3.058 4.599
Pu -3.326 -0.016 1.790
Pu -2.224 -0.188 -1.631
Pu -1.141 -0.891 5.535
Ag -0.753 1.009 0.675
```

Output
Density: 19.2 Mg/m³
Fermi-level density of states: 20.40 states/eV/f.u.
Formation energy from the elements: 359.3 meV per atom
E: -106.341 eV/cell
Symmetry: P-31m


# 16
Compound: Pu2TcAg
Source: the Alexandria database
Functional: PBE
Structure: optimized geometry

```
4
Lattice="3.279 0.000 0.000 0.000 5.099 0.000 0.000 0.000 5.099" Properties=species:S:1:pos:R:3 pbc="T T T"
Tc 1.639 2.549 2.549
Pu 0.000 2.549 0.000
Pu 0.000 0.000 2.549
Ag 1.639 0.000 0.000
```

Output
Density: 13.5 Mg/m³
Fermi-level density of states: 10.64 states/eV/f.u.
Formation energy from the elements: 174.0 meV per atom
E: -41.185 eV/cell
Symmetry: P4/mmm


# 17
Compound: Pu2TcAg
Source: the Alexandria database
Functional: PBE
Structure: optimized geometry

```
4
Lattice="3.213 0.000 0.000 0.000 3.213 0.000 0.000 0.000 8.317" Properties=species:S:1:pos:R:3 pbc="T T T"
Ag 1.607 1.607 4.159
Pu 0.000 0.000 1.812
Pu 0.000 0.000 6.505
Tc 1.607 1.607 0.000
```

Output
Density: 13.4 Mg/m³
Fermi-level density of states: 10.74 states/eV/f.u.
Formation energy from the elements: 8.1 meV per atom
E: -41.849 eV/cell
Symmetry: P4/mmm


# 18
Compound: PuTcAg
Source: the Alexandria database
Functional: PBE
Structure: optimized geometry

```
6
Lattice="-1.835 3.649 -0.606 -3.970 0.509 1.016 0.616 4.098 8.743" Properties=species:S:1:pos:R:3 pbc="T T T"
Tc -4.624 5.414 4.395
Tc -0.565 2.842 4.758
Ag -3.444 6.668 8.374
Ag -1.745 1.588 0.778
Pu -2.069 4.687 6.351
Pu -3.120 3.569 2.802
```

Output
Density: 10.8 Mg/m³
Fermi-level density of states: 8.59 states/eV/f.u.
Formation energy from the elements: 291.7 meV per atom
E: -53.348 eV/cell
Symmetry: R-3m


# 19
Compound: Pu2AgTe
Source: the Alexandria database
Functional: PBE
Structure: optimized geometry

```
4
Lattice="-2.368 3.100 0.761 -3.100 -1.441 -3.779 -2.672 -2.845 3.276" Properties=species:S:1:pos:R:3 pbc="T T T"
Pu -1.336 -1.423 1.638
Pu -1.550 -0.720 -1.890
Te -1.184 1.550 0.381
Ag -4.070 -0.593 0.129
```

Output
Uncorrected formation energy: -0.422 eV/atom
Density: 11.6 Mg/m³
Fermi-level density of states: 15.52 states/eV/f.u.
E above lowest polymorph: 0.0 meV per atom
E: -36.343 eV/cell
Symmetry: P4/mmm


# 20
Compound: Pu2AgTe4
Source: the Alexandria database
Functional: PBE
Structure: optimized geometry

```
7
Lattice="-2.115 -0.170 3.927 1.481 -4.166 0.617 8.243 3.611 4.597" Properties=species:S:1:pos:R:3 pbc="T T T"
Pu 0.831 -1.287 5.466
Pu 4.979 2.559 5.330
Te 3.804 -0.363 4.571
Te 7.565 0.907 4.115
Te 2.006 1.635 6.226
Te 0.360 0.536 2.754
Ag -0.317 -2.168 2.272
```

Output
Uncorrected formation energy: -0.710 eV/atom
Density: 9.1 Mg/m³
Fermi-level density of states: 19.20 states/eV/f.u.
E above lowest polymorph: 0.0 meV per atom
E: -49.055 eV/cell
Symmetry: P-4m2


# 21
Compound: Pu2AgTe4
Source: the Alexandria database
Functional: PBE
Structure: optimized geometry

```
14
Lattice="7.760 0.000 0.168 0.000 6.271 0.000 -2.644 0.000 8.425" Properties=species:S:1:pos:R:3 pbc="T T T"
Te 6.928 1.568 1.276
Te 3.453 3.080 2.222
Te -1.813 4.703 7.317
Te 1.663 3.190 6.371
Te 5.718 1.568 5.104
Te -0.602 4.703 3.489
Te 3.453 0.055 2.222
Te 1.663 6.216 6.371
Pu 0.834 1.568 3.700
Pu -0.730 1.568 7.885
Pu 5.846 4.703 0.708
Pu 4.281 4.703 4.893
Ag 1.282 4.703 1.556
Ag 3.833 1.568 7.037
```

Output
Uncorrected formation energy: -0.688 eV/atom
Density: 8.9 Mg/m³
Fermi-level density of states: 25.21 states/eV/f.u.
E above lowest polymorph: 22.1 meV per atom
E: -97.800 eV/cell
Symmetry: P2_1/m


# 22
Compound: Pu3Ag5Te12
Source: the Alexandria database
Functional: PBE
Structure: optimized geometry

```
80
Lattice="-7.589 -5.083 -11.796 -8.201 -1.786 12.334 3.032 14.483 -1.902" Properties=species:S:1:pos:R:3 pbc="T T T"
Te -4.430 2.167 -2.059
Te -5.700 4.391 -10.942
Te -8.204 7.731 5.922
Te -4.154 -0.199 3.357
Te -4.261 7.082 2.973
Te -8.327 5.447 0.695
Te -7.496 1.620 -7.624
Te -2.467 6.121 -4.334
Te -5.032 7.731 -11.382
Te -12.937 -1.801 0.955
Te -8.496 0.533 -4.337
Te -6.914 -1.067 5.506
Te -7.181 8.860 2.656
Te -4.553 -0.116 -7.286
Te -10.191 5.049 3.550
Te -11.484 -3.399 -4.326
Te -12.081 1.829 -1.620
Te -7.056 3.223 9.578
Te -7.635 2.924 4.942
Te -9.363 -1.437 -7.227
Te -4.096 9.879 -4.168
Te -11.369 5.163 -2.031
Te 0.893 12.742 -2.782
Te -5.261 5.995 6.260
Te -2.996 9.851 0.228
Te -7.010 4.249 -3.473
Te -1.388 2.452 0.667
Te -13.650 -5.127 1.418
Te -5.922 -1.349 0.648
Te -9.761 -2.237 -1.593
Te -6.418 -3.180 -6.941
Te -6.834 8.963 -2.012
Te -8.603 7.814 -4.721
Te -3.394 9.052 5.863
Te -1.273 11.013 2.961
Te -8.661 -2.265 2.804
Te -0.676 5.785 0.256
Te -5.747 3.365 2.109
Te -8.381 1.886 0.143
Te -7.724 -0.116 10.018
Te -5.122 4.690 -6.306
Te 0.180 9.415 -2.319
Te -6.338 10.795 5.577
Te -5.576 -1.245 -4.020
Te -2.565 2.566 -4.914
Te -5.843 8.681 -6.870
Te -10.290 1.493 2.970
Te -4.376 5.728 -1.507
Ag -9.491 5.299 -4.039
Ag -11.160 -1.119 2.944
Ag 0.000 0.000 0.000
Ag -2.278 4.700 -6.849
Ag 1.516 7.242 -0.951
Ag -8.240 8.157 0.214
Ag -4.100 -0.893 6.167
Ag -7.895 -3.434 0.269
Ag -1.596 8.733 -4.308
Ag -3.077 7.112 0.487
Ag -2.584 6.349 5.216
Ag -6.378 3.807 -0.682
Ag -8.694 -1.023 7.606
Ag -4.517 -0.542 -1.578
Ag -4.063 8.637 -8.970
Ag -5.962 3.457 7.063
Ag -3.266 2.316 2.675
Ag -6.795 4.158 -8.427
Ag -3.794 -2.541 -5.898
Ag -9.680 0.503 -1.852
Pu -12.411 -3.976 -1.309
Pu -5.544 7.016 -4.174
Pu -7.213 0.599 2.810
Pu -7.101 5.807 3.638
Pu -10.972 3.677 0.756
Pu -5.656 1.808 -5.002
Pu -0.345 11.591 -0.055
Pu -6.907 -1.050 -9.256
Pu -5.850 8.664 7.891
Pu -1.785 3.937 -2.121
Pu -8.388 -2.671 -4.460
Pu -4.369 10.286 3.096
```

Output
Uncorrected formation energy: -0.283 eV/atom
Density: 7.3 Mg/m³
Fermi-level density of states: 40.60 states/eV/f.u.
E: -402.451 eV/cell
Symmetry: Ia-3d